A relaxed structure of LiHg2Bi2. Source: the Alexandria database, functional PBE.

## Properties
Energy of formation from the pure elements: 0.03 eV per atom
ρ: 8.67 g cm⁻³
Raw total energy: -2.0214 eV per atom
Total magnetization: 0.000 Bohr magnetons per cell

Structure (CIF):
```
data_LiHg2Bi2
_cell_length_a 4.617
_cell_length_b 4.617
_cell_length_c 14.843
_cell_angle_alpha 90.00
_cell_angle_beta 90.00
_cell_angle_gamma 90.00
_symmetry_space_group_name_H-M 'I 4/m m m'
_symmetry_Int_Tables_number 139
_symmetry_space_group_name_Hall '-I 4 2'
loop_
_atom_site_label
_atom_site_fract_x
_atom_site_fract_y
_atom_site_fract_z
_atom_site_occupancy
Li1 0.000 0.000 0.000 1
Hg1 0.000 0.000 0.405 1
Bi1 0.000 0.500 0.250 1
```